[1]
VASP calculation (PBEsol) on crystalline Ba2Ti4Cr2O13 at its relaxed geometry.

Cell: 7.6673 7.6673 9.0725 Å, 97.69 97.69 29.47°
Atoms (fractional coordinates):
Ba1 0.0532 0.0532 0.2762
Ba2 0.9468 0.9468 0.7238
Ti1 0.3334 0.3334 0.0630
Ti2 0.3749 0.3749 0.4099
Ti3 0.6251 0.6251 0.5901
Ti4 0.6666 0.6666 0.9370
Cr1 0.2567 0.2567 0.7403
Cr2 0.7433 0.7433 0.2597
O1 0.1326 0.1326 0.6166
O2 0.1986 0.1986 0.9286
O3 0.2616 0.2616 0.2532
O4 0.3269 0.3269 0.5815
O5 0.3699 0.3699 0.8787
O6 0.4325 0.4325 0.1981
O7 0.5000 0.5000 0.5000
O8 0.5675 0.5675 0.8019
O9 0.6301 0.6301 0.1213
O10 0.6731 0.6731 0.4185
O11 0.7384 0.7384 0.7468
O12 0.8014 0.8014 0.0714
O13 0.8674 0.8674 0.3834

Summary:
space-group type = No. 12
formation energy (no corrections) = -2840 meV/atom

---

[2]
VASP calculation (PBEsol) on crystalline Ba3Cr2WO9 at its relaxed geometry.

Cell: 5.6796 5.6796 13.9774 Å, 90.00 90.00 120.00°
Atoms (fractional coordinates):
Ba1 0.0000 0.0000 0.2500
Ba2 0.0000 0.0000 0.7500
Ba3 0.3333 0.6667 0.1011
Ba4 0.3333 0.6667 0.3989
Ba5 0.6667 0.3333 0.6011
Ba6 0.6667 0.3333 0.8989
Cr1 0.3333 0.6667 0.6580
Cr2 0.3333 0.6667 0.8420
Cr3 0.6667 0.3333 0.1580
Cr4 0.6667 0.3333 0.3420
W1 0.0000 0.0000 0.0000
W2 0.0000 0.0000 0.5000
O1 0.0356 0.5178 0.7500
O2 0.1621 0.3243 0.5789
O3 0.1621 0.3243 0.9211
O4 0.1621 0.8379 0.5789
O5 0.1621 0.8379 0.9211
O6 0.3243 0.1621 0.0789
O7 0.3243 0.1621 0.4211
O8 0.4822 0.5178 0.7500
O9 0.4822 0.9644 0.7500
O10 0.5178 0.0356 0.2500
O11 0.5178 0.4822 0.2500
O12 0.6757 0.8379 0.5789
O13 0.6757 0.8379 0.9211
O14 0.8379 0.1621 0.0789
O15 0.8379 0.1621 0.4211
O16 0.8379 0.6757 0.0789
O17 0.8379 0.6757 0.4211
O18 0.9644 0.4822 0.2500

Summary:
space-group type = No. 194
formation energy (no corrections) = -2516 meV/atom

---

[3]
VASP calculation (PBEsol) on crystalline BaCrOs2 at its relaxed geometry.

Cell: 3.9938 3.9938 4.6888 Å, 90.00 90.00 90.00°
Atoms (fractional coordinates):
Ba1 0.0000 0.0000 0.0000
Cr1 0.5000 0.5000 0.0000
Os1 0.0000 0.5000 0.5000
Os2 0.5000 0.0000 0.5000

Summary:
distance to the lowest polymorph of the same formula = 89 meV/atom
space-group type = No. 123
DFT formation energy = 6.525 eV per formula unit